Entry from Alexandria: crystalline PmThCdGa at its relaxed geometry (GGA-PBE).

a = 7.5222 Å, b = 7.5222 Å, c = 7.5222 Å
α = 90.00°, β = 90.00°, γ = 90.00°
Closest atoms and distances in Å follow each position.
Space group F-43m (No. 216)
Asymmetric unit:
Pm 0.0000 0.0000 0.0000 x4  4 Cd 3.26, 4 Ga 3.26
Th 0.0000 0.0000 0.5000 x4  4 Ga 3.26, 4 Cd 3.26
Cd 0.2500 0.2500 0.7500 x4  4 Th 3.26, 4 Pm 3.26
Ga 0.2500 0.2500 0.2500 x4  4 Th 3.26, 4 Pm 3.26

Values from the calculation:
DFT total energy   -4.3458 eV per atom
V   26.60 A^3/atom
Formation energy   -1.27 eV per formula unit